No. 1
Ac6SiSe2S3: optimized geometry, PBE.

```
data_Ac6SiSe2S3
_symmetry_space_group_name_H-M 'C 1 2/m 1'
_symmetry_Int_Tables_number 12
_symmetry_space_group_name_Hall '-C 2y'
_cell_length_a 7.662
_cell_length_b 13.286
_cell_length_c 7.627
_cell_angle_alpha 90.00
_cell_angle_beta 109.56
_cell_angle_gamma 90.00
loop_
_atom_site_label
_atom_site_fract_x
_atom_site_fract_y
_atom_site_fract_z
_atom_site_occupancy
Ac1 0.239 0.000 0.244 1
Ac2 0.248 0.162 0.758 1
Si1 0.000 0.000 0.500 1
Se1 0.000 0.333 0.500 1
S1 0.000 0.167 0.000 1
S2 0.000 0.500 0.000 1
```

---

No. 2
Ac8SiSe4S3: optimized geometry, PBE.

```
data_Ac8SiSe4S3
_symmetry_space_group_name_H-M 'R -3 m'
_symmetry_Int_Tables_number 166
_symmetry_space_group_name_Hall '-R 3 2"'
_cell_length_a 8.8112
_cell_length_b 8.8112
_cell_length_c 21.9655
_cell_angle_alpha 90.00
_cell_angle_beta 90.00
_cell_angle_gamma 120.00
loop_
_atom_site_label
_atom_site_fract_x
_atom_site_fract_y
_atom_site_fract_z
_atom_site_occupancy
Ac1 0.0000 0.0000 0.2445 1
Ac2 0.0003 0.5001 0.2449 1
Si1 0.0000 0.0000 0.5000 1
Se1 0.0000 0.0000 0.0000 1
Se2 0.0000 0.5000 0.0000 1
S1 0.0000 0.5000 0.5000 1
```

---

No. 3
Ac6Si3SeS2: optimized geometry, PBE.

```
data_Ac6Si3SeS2
_symmetry_space_group_name_H-M 'C 1 2/m 1'
_symmetry_Int_Tables_number 12
_symmetry_space_group_name_Hall '-C 2y'
_cell_length_a 19.597
_cell_length_b 4.514
_cell_length_c 8.994
_cell_angle_alpha 90.00
_cell_angle_beta 102.84
_cell_angle_gamma 90.00
loop_
_atom_site_label
_atom_site_fract_x
_atom_site_fract_y
_atom_site_fract_z
_atom_site_occupancy
Ac1 0.000 0.000 0.242 1
Ac2 0.166 0.500 0.085 1
Ac3 0.170 0.500 0.582 1
Si1 0.000 0.500 0.000 1
Si2 0.166 0.000 0.332 1
Se1 0.000 0.500 0.500 1
S1 0.167 0.000 0.834 1
```

---

No. 4
Ac8Si3Se4S: optimized geometry, PBE.

```
data_Ac8Si3Se4S
_symmetry_space_group_name_H-M 'R -3 m'
_symmetry_Int_Tables_number 166
_symmetry_space_group_name_Hall '-R 3 2"'
_cell_length_a 9.0240
_cell_length_b 9.0240
_cell_length_c 22.1731
_cell_angle_alpha 90.00
_cell_angle_beta 90.00
_cell_angle_gamma 120.00
loop_
_atom_site_label
_atom_site_fract_x
_atom_site_fract_y
_atom_site_fract_z
_atom_site_occupancy
Ac1 0.0000 0.0000 0.2463 1
Ac2 0.0032 0.5016 0.7544 1
Si1 0.0000 0.5000 0.5000 1
Se1 0.0000 0.0000 0.0000 1
Se2 0.0000 0.5000 0.0000 1
S1 0.0000 0.0000 0.5000 1
```

---

No. 5
Ac8SiSe3S4: optimized geometry, PBE.

```
data_Ac8SiSe3S4
_symmetry_space_group_name_H-M 'R -3 m'
_symmetry_Int_Tables_number 166
_symmetry_space_group_name_Hall '-R 3 2"'
_cell_length_a 8.8310
_cell_length_b 8.8310
_cell_length_c 21.5478
_cell_angle_alpha 90.00
_cell_angle_beta 90.00
_cell_angle_gamma 120.00
loop_
_atom_site_label
_atom_site_fract_x
_atom_site_fract_y
_atom_site_fract_z
_atom_site_occupancy
Ac1 0.0000 0.0000 0.2448 1
Ac2 0.0081 0.5040 0.7527 1
Si1 0.0000 0.0000 0.0000 1
Se1 0.0000 0.5000 0.0000 1
S1 0.0000 0.0000 0.5000 1
S2 0.0000 0.5000 0.5000 1
```

---

No. 6
AcSmSeS: optimized geometry, PBE.

```
data_AcSmSeS
_symmetry_space_group_name_H-M 'R 3 m'
_symmetry_Int_Tables_number 160
_symmetry_space_group_name_Hall 'R 3 -2"'
_cell_length_a 4.2131
_cell_length_b 4.2131
_cell_length_c 21.0321
_cell_angle_alpha 90.00
_cell_angle_beta 90.00
_cell_angle_gamma 120.00
loop_
_atom_site_label
_atom_site_fract_x
_atom_site_fract_y
_atom_site_fract_z
_atom_site_occupancy
Ac1 0.0000 0.0000 0.0000 1
Sm1 0.0000 0.0000 0.4869 1
Se1 0.0000 0.0000 0.2372 1
S1 0.0000 0.0000 0.7509 1
```

---

No. 7
Ac2Sm2Se2S3: optimized geometry, PBE.

```
data_Ac2Sm2Se2S3
_symmetry_space_group_name_H-M 'I 4/m m m'
_symmetry_Int_Tables_number 139
_symmetry_space_group_name_Hall '-I 4 2'
_cell_length_a 5.242
_cell_length_b 5.242
_cell_length_c 19.147
_cell_angle_alpha 90.00
_cell_angle_beta 90.00
_cell_angle_gamma 90.00
loop_
_atom_site_label
_atom_site_fract_x
_atom_site_fract_y
_atom_site_fract_z
_atom_site_occupancy
Ac1 0.000 0.000 0.181 1
Sm1 0.000 0.500 0.000 1
Se1 0.000 0.000 0.406 1
S1 0.000 0.000 0.000 1
S2 0.000 0.500 0.250 1
```

---

No. 8
Ac6SnSe3S2: optimized geometry, PBE.

```
data_Ac6SnSe3S2
_symmetry_space_group_name_H-M 'C 1 2/m 1'
_symmetry_Int_Tables_number 12
_symmetry_space_group_name_Hall '-C 2y'
_cell_length_a 19.602
_cell_length_b 4.498
_cell_length_c 8.972
_cell_angle_alpha 90.00
_cell_angle_beta 103.75
_cell_angle_gamma 90.00
loop_
_atom_site_label
_atom_site_fract_x
_atom_site_fract_y
_atom_site_fract_z
_atom_site_occupancy
Ac1 0.005 0.000 0.259 1
Ac2 0.169 0.500 0.094 1
Ac3 0.170 0.500 0.576 1
Sn1 0.000 0.500 0.000 1
Se1 0.000 0.500 0.500 1
Se2 0.164 0.000 0.830 1
S1 0.170 0.000 0.337 1
```

---

No. 9
Ac4SnSe2S: optimized geometry, PBE.

```
data_Ac4SnSe2S
_symmetry_space_group_name_H-M 'I m m a'
_symmetry_Int_Tables_number 74
_symmetry_space_group_name_Hall '-I 2b 2'
_cell_length_a 9.008
_cell_length_b 9.165
_cell_length_c 12.847
_cell_angle_alpha 90.00
_cell_angle_beta 90.00
_cell_angle_gamma 90.00
loop_
_atom_site_label
_atom_site_fract_x
_atom_site_fract_y
_atom_site_fract_z
_atom_site_occupancy
Ac1 0.000 0.008 0.248 1
Ac2 0.245 0.250 0.004 1
Sn1 0.000 0.000 0.500 1
Se1 0.000 0.000 0.000 1
Se2 0.250 0.250 0.750 1
S1 0.250 0.250 0.250 1
```

---

No. 10
Ac4SnSeS2: optimized geometry, PBE.

```
data_Ac4SnSeS2
_symmetry_space_group_name_H-M 'P 1 2/m 1'
_symmetry_Int_Tables_number 10
_symmetry_space_group_name_Hall '-P 2y'
_cell_length_a 7.750
_cell_length_b 4.533
_cell_length_c 7.783
_cell_angle_alpha 90.00
_cell_angle_beta 109.92
_cell_angle_gamma 90.00
loop_
_atom_site_label
_atom_site_fract_x
_atom_site_fract_y
_atom_site_fract_z
_atom_site_occupancy
Ac1 0.234 0.000 0.241 1
Ac2 0.237 0.500 0.748 1
Sn1 0.500 0.500 0.500 1
Se1 0.500 0.000 0.000 1
S1 0.000 0.000 0.500 1
S2 0.000 0.500 0.000 1
```

---

No. 11
Ac4Sn2SeS: optimized geometry, PBE.

```
data_Ac4Sn2SeS
_symmetry_space_group_name_H-M 'I m m a'
_symmetry_Int_Tables_number 74
_symmetry_space_group_name_Hall '-I 2b 2'
_cell_length_a 9.237
_cell_length_b 9.303
_cell_length_c 13.114
_cell_angle_alpha 90.00
_cell_angle_beta 90.00
_cell_angle_gamma 90.00
loop_
_atom_site_label
_atom_site_fract_x
_atom_site_fract_y
_atom_site_fract_z
_atom_site_occupancy
Ac1 0.000 0.010 0.248 1
Ac2 0.246 0.250 0.005 1
Sn1 0.000 0.000 0.500 1
Sn2 0.250 0.250 0.750 1
Se1 0.000 0.000 0.000 1
S1 0.250 0.250 0.250 1
```

---

No. 12
SrAcSeS: optimized geometry, PBE.

```
data_SrAcSeS
_symmetry_space_group_name_H-M 'R 3 m'
_symmetry_Int_Tables_number 160
_symmetry_space_group_name_Hall 'R 3 -2"'
_cell_length_a 4.3425
_cell_length_b 4.3425
_cell_length_c 21.7275
_cell_angle_alpha 90.00
_cell_angle_beta 90.00
_cell_angle_gamma 120.00
loop_
_atom_site_label
_atom_site_fract_x
_atom_site_fract_y
_atom_site_fract_z
_atom_site_occupancy
Sr1 0.0000 0.0000 0.0000 1
Ac1 0.0000 0.0000 0.5074 1
Se1 0.0000 0.0000 0.7524 1
S1 0.0000 0.0000 0.2550 1
```

---

Number 1: raw formation energy -169.9 kJ per mole of atoms, magnetic moment 0.000 Bohr magnetons per cell. Number 2: raw formation energy -172.7 kJ per mole of atoms, magnetic moment 0.000 Bohr magnetons per cell. Number 3: raw formation energy -122.2 kJ per mole of atoms, magnetic moment 0.000 Bohr magnetons per cell. Number 4: raw formation energy -141.1 kJ per mole of atoms, magnetic moment 0.000 Bohr magnetons per cell. Number 5: raw formation energy -173.8 kJ per mole of atoms, magnetic moment 0.000 Bohr magnetons per cell. Number 6: raw formation energy -185.7 kJ per mole of atoms, magnetic moment 0.000 Bohr magnetons per cell. Number 7: raw formation energy -166.4 kJ per mole of atoms, magnetic moment 0.011 Bohr magnetons per cell. Number 8: raw formation energy -164.4 kJ per mole of atoms, magnetic moment 0.000 Bohr magnetons per cell. Number 9: raw formation energy -154.6 kJ per mole of atoms, magnetic moment 0.000 Bohr magnetons per cell. Number 10: raw formation energy -157.4 kJ per mole of atoms, magnetic moment 0.000 Bohr magnetons per cell. Number 11: raw formation energy -123.2 kJ per mole of atoms, magnetic moment 0.000 Bohr magnetons per cell. Number 12: raw formation energy -191.9 kJ per mole of atoms, magnetic moment 0.000 Bohr magnetons per cell.